1.
Material: MgAsW2
Method: DFT, PBE
State: optimized geometry Values from VASP.

Results
Its space group is Cmmm (65). The total moment comes out at 0.00 μB/cell. The value obtained for the polymorph energy (0 for the lowest one) is 332 meV per atom. As for the crystal system: orthorhombic. For the total energy, the calculation gives -30.1 eV for the cell shown.

```
&SYSTEM
  ibrav = 0, nat = 4, ntyp = 3
/
ATOMIC_SPECIES
Mg 24.30 Mg.upf
As 74.92 As.upf
W 183.84 W.upf
ATOMIC_POSITIONS crystal
Mg 0.000 0.000 0.000
As 0.000 0.000 0.500
W 0.500 0.500 0.271
W 0.500 0.500 0.729
CELL_PARAMETERS angstrom
1.630 -2.344 0.000
1.630 2.344 0.000
0.000 0.000 8.767
```

2.
Material: MgAsW2
Method: DFT, PBE
State: optimized geometry Values from VASP.

Results
Its space group is P4mm (99). The total moment comes out at 0.00 μB/cell. The value obtained for the polymorph energy (0 for the lowest one) is 0 meV per atom. As for the crystal system: tetragonal. For the total energy, the calculation gives -31.4 eV for the cell shown.

```
&SYSTEM
  ibrav = 0, nat = 4, ntyp = 3
/
ATOMIC_SPECIES
Mg 24.30 Mg.upf
As 74.92 As.upf
W 183.84 W.upf
ATOMIC_POSITIONS crystal
Mg 0.000 0.000 0.000
As 0.500 0.500 0.726
W 0.000 0.000 0.498
W 0.500 0.500 0.274
CELL_PARAMETERS angstrom
3.271 0.000 0.000
0.000 3.271 0.000
0.000 0.000 6.313
```

3.
Material: MgAs2W
Method: DFT, PBE
State: optimized geometry Values from VASP.

Results
Its space group is Immm (71). The total moment comes out at 0.00 μB/cell. As for the crystal system: orthorhombic. For the total energy, the calculation gives -23.1 eV for the cell shown.

```
&SYSTEM
  ibrav = 0, nat = 4, ntyp = 3
/
ATOMIC_SPECIES
Mg 24.30 Mg.upf
As 74.92 As.upf
W 183.84 W.upf
ATOMIC_POSITIONS crystal
Mg 0.000 0.000 0.000
As 0.240 0.740 0.500
As 0.760 0.260 0.500
W 0.500 0.500 0.000
CELL_PARAMETERS angstrom
-1.908 2.412 3.652
1.908 -2.412 3.652
1.908 2.412 -3.652
```

4.
Material: Mg2AsW
Method: DFT, PBE
State: optimized geometry Values from VASP.

Results
Its space group is I4/mmm (139). The total moment comes out at 0.00 μB/cell. As for the crystal system: tetragonal. For the total energy, the calculation gives -19.5 eV for the cell shown.

```
&SYSTEM
  ibrav = 0, nat = 4, ntyp = 3
/
ATOMIC_SPECIES
Mg 24.30 Mg.upf
As 74.92 As.upf
W 183.84 W.upf
ATOMIC_POSITIONS crystal
Mg 0.250 0.750 0.500
Mg 0.750 0.250 0.500
As 0.000 0.000 0.000
W 0.500 0.500 0.000
CELL_PARAMETERS angstrom
-1.912 1.912 4.668
1.912 -1.912 4.668
1.912 1.912 -4.668
```

> What is the formula in the fourth record?

Mg2AsW

> Look up the total moment of the third one.

0.00 μB/cell

> Which formula does entry 4 have?

Mg2AsW